VASP calculation (PBE) on a relaxed structure of ThMgZrNb.

The structure belongs to space group F-43m (No. 216); the cell edges are 7.2189, 7.2189 and 7.2189 Å and the angles 90.00°, 90.00° and 90.00°. The inequivalent atoms are Th at (0.0000, 0.0000, 0.0000), Mg at (0.2500, 0.2500, 0.2500), Zr at (0.0000, 0.0000, 0.5000) and Nb at (0.2500, 0.2500, 0.7500).

***

VASP calculation (PBE) on a relaxed structure of Mg14TiNb.

For the energy above the most stable polymorph in this dataset, the calculation gives 0.0 kJ per mole of atoms.

The structure belongs to space group Amm2 (No. 38); the cell edges are 10.1773, 6.1272 and 11.1189 Å and the angles 90.00°, 90.00° and 90.00°. The inequivalent atoms are Mg at (0.0000, 0.0000, 0.0000), Mg at (0.0000, 0.0000, 0.4992), Mg at (0.0000, 0.2499, 0.2505), Mg at (0.2556, 0.0000, 0.6585), Mg at (0.2571, 0.0000, 0.1587), Mg at (0.2601, 0.2480, 0.9164), Mg at (0.5000, 0.2504, 0.2529), Ti at (0.5000, 0.0000, 0.5020) and Nb at (0.5000, 0.0000, 0.0037).

***

VASP calculation (PBE) on a relaxed structure of MgTi2Nb.

For the energy above the most stable polymorph in this dataset, the calculation gives 8.3 kJ per mole of atoms.

The structure belongs to space group R-3m (No. 166, hexagonal axes); the cell edges are 3.0126, 3.0126 and 28.9226 Å and the angles 90.00°, 90.00° and 120.00°. The inequivalent atoms are Mg at (0.0000, 0.0000, 0.0000), Ti at (0.0000, 0.0000, 0.2449) and Nb at (0.0000, 0.0000, 0.5000).

***

VASP calculation (PBE) on a relaxed structure of MgTi2Nb2.

For the energy above the most stable polymorph in this dataset, the calculation gives 7.0 kJ per mole of atoms.

The structure belongs to space group P4/mbm (No. 127); the cell edges are 7.4112, 7.4112 and 3.4543 Å and the angles 90.00°, 90.00° and 90.00°. The inequivalent atoms are Mg at (0.0000, 0.0000, 0.0000), Ti at (0.1636, 0.3364, 0.5000) and Nb at (0.1310, 0.6310, 0.0000).

***

VASP calculation (PBE) on a relaxed structure of MgTi2Nb.

For the energy above the most stable polymorph in this dataset, the calculation gives 6.8 kJ per mole of atoms.

The structure belongs to space group P4/mmm (No. 123); the cell edges are 4.2182, 4.2182 and 4.0329 Å and the angles 90.00°, 90.00° and 90.00°. The inequivalent atoms are Mg at (0.0000, 0.0000, 0.0000), Ti at (0.0000, 0.5000, 0.5000) and Nb at (0.5000, 0.5000, 0.0000).

***

VASP calculation (PBE) on a relaxed structure of MgTi2Nb2.

For the energy above the most stable polymorph in this dataset, the calculation gives 0.0 kJ per mole of atoms.

The structure belongs to space group P4/mbm (No. 127); the cell edges are 7.3036, 7.3036 and 3.4666 Å and the angles 90.00°, 90.00° and 90.00°. The inequivalent atoms are Mg at (0.0000, 0.0000, 0.0000), Ti at (0.1311, 0.3689, 0.0000) and Nb at (0.1650, 0.6650, 0.5000).

***

VASP calculation (PBE) on a relaxed structure of MgTi2Nb.

For the energy above the most stable polymorph in this dataset, the calculation gives 7.6 kJ per mole of atoms.

The structure belongs to space group Fm-3m (No. 225); the cell edges are 6.5925, 6.5925 and 6.5925 Å and the angles 90.00°, 90.00° and 90.00°. The inequivalent atoms are Mg at (0.0000, 0.0000, 0.0000), Ti at (0.2500, 0.2500, 0.2500) and Nb at (0.0000, 0.0000, 0.5000).

***

VASP calculation (PBE) on a relaxed structure of MgTi2Nb2.

For the energy above the most stable polymorph in this dataset, the calculation gives 36.3 kJ per mole of atoms.

The structure belongs to space group I4/mmm (No. 139); the cell edges are 3.8777, 3.8777 and 13.0525 Å and the angles 90.00°, 90.00° and 90.00°. The inequivalent atoms are Mg at (0.0000, 0.0000, 0.0000), Ti at (0.0000, 0.5000, 0.2500) and Nb at (0.0000, 0.0000, 0.4038).

***

VASP calculation (PBE) on a relaxed structure of MgTi2Nb.

For the energy above the most stable polymorph in this dataset, the calculation gives 0.0 kJ per mole of atoms.

The structure belongs to space group P4/mmm (No. 123); the cell edges are 3.3291, 3.3291 and 6.7342 Å and the angles 90.00°, 90.00° and 90.00°. The inequivalent atoms are Mg at (0.0000, 0.0000, 0.0000), Ti at (0.5000, 0.5000, 0.2809) and Nb at (0.0000, 0.0000, 0.5000).

***

VASP calculation (PBE) on a relaxed structure of MgTi12Nb6.

The structure belongs to space group R-3m (No. 166, hexagonal axes); the cell edges are 12.7516, 12.7516 and 7.8498 Å and the angles 90.00°, 90.00° and 120.00°. The inequivalent atoms are Mg at (0.0000, 0.0000, 0.0000), Ti at (0.0000, 0.3935, 0.5000), Ti at (0.0765, 0.1530, 0.2667) and Nb at (0.0670, 0.5335, 0.2082).

***

VASP calculation (PBE) on a relaxed structure of Mg14TiNb.

For the energy above the most stable polymorph in this dataset, the calculation gives 2.4 kJ per mole of atoms.

The structure belongs to space group P-6m2 (No. 187); the cell edges are 6.3280, 6.3280 and 10.0235 Å and the angles 90.00°, 90.00° and 120.00°. The inequivalent atoms are Mg at (0.0000, 0.0000, 0.2500), Mg at (0.0133, 0.5067, 0.2467), Mg at (0.3358, 0.1679, 0.0000), Mg at (0.3370, 0.1685, 0.5000), Ti at (0.3333, 0.6667, 0.5000) and Nb at (0.3333, 0.6667, 0.0000).

***

VASP calculation (PBE) on a relaxed structure of MgTi2Nb.

For the energy above the most stable polymorph in this dataset, the calculation gives 48.2 kJ per mole of atoms.

The structure belongs to space group I-42d (No. 122); the cell edges are 3.9463, 3.9463 and 19.3728 Å and the angles 90.00°, 90.00° and 90.00°. The inequivalent atoms are Mg at (0.0000, 0.0000, 0.0000), Ti at (0.2340, 0.2500, 0.6250) and Nb at (0.0000, 0.0000, 0.5000).

***

What energy of formation from the pure elements values result from the calculations? In sequence: 0.148 0.094 0.153 0.241 0.138 0.168 0.146 0.544 0.067 0.517 0.120 0.567 eV/atom.